(1)
K4H12Br GGA-PBE optimized geometry; uncorrected energy = -2.7979 eV/atom; SG = Im-3 (204)
1.0
-4.5263 4.5263 4.5263
4.5263 -4.5263 4.5263
4.5263 4.5263 -4.5263
K H Br
4 12 1
direct
0.0000 0.0000 0.5000
0.0000 0.5000 0.0000
0.5000 0.0000 0.0000
0.5000 0.5000 0.5000
0.1338 0.4569 0.5907
0.1338 0.5431 0.6769
0.3231 0.8662 0.4569
0.4093 0.8662 0.5431
0.4569 0.3231 0.8662
0.4569 0.5907 0.1338
0.5431 0.4093 0.8662
0.5431 0.6769 0.1338
0.5907 0.1338 0.4569
0.6769 0.1338 0.5431
0.8662 0.4569 0.3231
0.8662 0.5431 0.4093
0.0000 0.0000 0.0000



(2)
ScZnN GGA-PBE optimized geometry; relative energy among the computed polymorphs = 321.6 meV/atom; SG = R3m (160)
1.0
1.6816 0.9709 5.1675
-1.6816 0.9709 5.1675
0.0000 -1.9418 5.1675
Sc Zn N
1 1 1
direct
0.0000 0.0000 0.0000
0.4936 0.4936 0.4936
0.6198 0.6198 0.6198



(3)
PaBe4Re GGA-PBE optimized geometry; formation energy from the elements = 0.030 eV/atom; SG = F-43m (216)
1.0
0.0000 3.3676 3.3676
3.3676 0.0000 3.3676
3.3676 3.3676 0.0000
Pa Be Re
1 4 1
direct
0.0000 0.0000 0.0000
0.3779 0.3779 0.3779
0.3779 0.3779 0.8664
0.3779 0.8664 0.3779
0.8664 0.3779 0.3779
0.7500 0.7500 0.7500



In the order shown, the computed magnetization values come out to 0.000, 0.000, 0.000 Bohr magnetons per cell.